VASP calculation (PBE with a Hubbard U) on a relaxed structure of AcVCoO6.

Lattice parameters (Å, degrees): 5.327 5.032 5.032 120.00 90.00 90.00
Atoms (fractional coordinates):
Co (0.500, 0.000, 0.000)
V (0.500, 0.667, 0.333)
Ac (0.000, 0.333, 0.667)
O (0.701, 0.943, 0.275)
O (0.299, 0.725, 0.057)
O (0.299, 0.943, 0.669)
O (0.701, 0.725, 0.669)
O (0.299, 0.331, 0.275)
O (0.701, 0.331, 0.057)

## Properties
calculated density: 6154 kg/m³
E: -64.0 eV for the cell shown
space group: No. 149
density of states at the Fermi level: 3.4 states/eV/f.u.
crystal system: trigonal
magnetization: 1.0 Bohr magnetons per cell